# NaSr2Pa | Alexandria | PBE | optimized geometry
# ΔH_f (0 K), eV/atom: 0.62
data_NaSr2Pa
_chemical_formula_sum 'Na3 Sr6 Pa3'
_cell_length_a 3.5102
_cell_length_b 3.5102
_cell_length_c 41.1226
_cell_angle_alpha 90.00
_cell_angle_beta 90.00
_cell_angle_gamma 120.00
_symmetry_space_group_name_H-M 'R -3 m'
_symmetry_Int_Tables_number 166
_symmetry_space_group_name_Hall '-R 3 2"'
loop_
_atom_site_label
_atom_site_type_symbol
_atom_site_fract_x
_atom_site_fract_y
_atom_site_fract_z
Na1 Na 0.0000 0.0000 0.0000
Sr1 Sr 0.0000 0.0000 0.4158
Pa1 Pa 0.0000 0.0000 0.5000

# VAgPt2 | Alexandria | PBE | optimized geometry
# ΔH_f (0 K), eV/atom: -0.37
data_VAgPt2
_chemical_formula_sum 'V1 Ag1 Pt2'
_cell_length_a 2.803
_cell_length_b 2.803
_cell_length_c 7.878
_cell_angle_alpha 90.00
_cell_angle_beta 90.00
_cell_angle_gamma 90.00
_symmetry_space_group_name_H-M 'P 4/m m m'
_symmetry_Int_Tables_number 123
_symmetry_space_group_name_Hall '-P 4 2'
loop_
_atom_site_label
_atom_site_type_symbol
_atom_site_fract_x
_atom_site_fract_y
_atom_site_fract_z
V1 V 0.000 0.000 0.000
Ag1 Ag 0.000 0.000 0.500
Pt1 Pt 0.500 0.500 0.224

# ZnS | Alexandria | PBE | optimized geometry
# Formation energy without anion corrections, eV per formula unit: -1.41
data_ZnS
_chemical_formula_sum 'Zn6 S6'
_cell_length_a 6.702
_cell_length_b 6.702
_cell_length_c 6.702
_cell_angle_alpha 90.00
_cell_angle_beta 90.00
_cell_angle_gamma 90.00
_symmetry_space_group_name_H-M 'P m -3 n'
_symmetry_Int_Tables_number 223
_symmetry_space_group_name_Hall '-P 4n 2 3'
loop_
_atom_site_label
_atom_site_type_symbol
_atom_site_fract_x
_atom_site_fract_y
_atom_site_fract_z
Zn1 Zn 0.000 0.250 0.500
S1 S 0.000 0.500 0.250

# NaBe2W | Alexandria | PBE | optimized geometry
# ΔH_f (0 K), eV/atom: 1.00
# E above lowest polymorph, meV per atom: 0
data_NaBe2W
_chemical_formula_sum 'Na4 Be8 W4'
_cell_length_a 5.986
_cell_length_b 5.986
_cell_length_c 5.986
_cell_angle_alpha 90.00
_cell_angle_beta 90.00
_cell_angle_gamma 90.00
_symmetry_space_group_name_H-M 'F m -3 m'
_symmetry_Int_Tables_number 225
_symmetry_space_group_name_Hall '-F 4 2 3'
loop_
_atom_site_label
_atom_site_type_symbol
_atom_site_fract_x
_atom_site_fract_y
_atom_site_fract_z
Na1 Na 0.000 0.000 0.000
Be1 Be 0.250 0.250 0.250
W1 W 0.000 0.000 0.500

# Ce2Ge3Ir2 | Alexandria | PBE | optimized geometry
# ΔH_f (0 K), eV/atom: -0.74
# E above lowest polymorph, meV per atom: 0
data_Ce2Ge3Ir2
_chemical_formula_sum 'Ce8 Ge12 Ir8'
_cell_length_a 4.216
_cell_length_b 18.407
_cell_length_c 7.087
_cell_angle_alpha 90.00
_cell_angle_beta 90.00
_cell_angle_gamma 90.00
_symmetry_space_group_name_H-M 'C m c m'
_symmetry_Int_Tables_number 63
_symmetry_space_group_name_Hall '-C 2c 2'
loop_
_atom_site_label
_atom_site_type_symbol
_atom_site_fract_x
_atom_site_fract_y
_atom_site_fract_z
Ce1 Ce 0.000 0.055 0.250
Ce2 Ce 0.000 0.159 0.750
Ge1 Ge 0.000 0.221 0.250
Ge2 Ge 0.000 0.437 0.065
Ir1 Ir 0.000 0.306 0.546

# LiMgCd2In | Alexandria | PBE | optimized geometry
# ΔH_f (0 K), eV/atom: -0.11
data_LiMgCd2In
_chemical_formula_sum 'Li4 Mg4 Cd8 In4'
_cell_length_a 4.839
_cell_length_b 10.831
_cell_length_c 8.323
_cell_angle_alpha 90.00
_cell_angle_beta 90.00
_cell_angle_gamma 90.00
_symmetry_space_group_name_H-M 'C m c m'
_symmetry_Int_Tables_number 63
_symmetry_space_group_name_Hall '-C 2c 2'
loop_
_atom_site_label
_atom_site_type_symbol
_atom_site_fract_x
_atom_site_fract_y
_atom_site_fract_z
Li1 Li 0.000 0.173 0.250
Mg1 Mg 0.000 0.451 0.250
Cd1 Cd 0.000 0.300 0.573
In1 In 0.000 0.000 0.000

# CdGeSN2 | Alexandria | PBE | optimized geometry
# E above lowest polymorph, meV per atom: 0
# Formation energy without anion corrections, eV per formula unit: 4.60
data_CdGeSN2
_chemical_formula_sum 'Cd1 Ge1 S1 N2'
_cell_length_a 3.726
_cell_length_b 3.726
_cell_length_c 5.696
_cell_angle_alpha 90.00
_cell_angle_beta 90.00
_cell_angle_gamma 90.00
_symmetry_space_group_name_H-M 'P 4/m m m'
_symmetry_Int_Tables_number 123
_symmetry_space_group_name_Hall '-P 4 2'
loop_
_atom_site_label
_atom_site_type_symbol
_atom_site_fract_x
_atom_site_fract_y
_atom_site_fract_z
Cd1 Cd 0.000 0.000 0.000
Ge1 Ge 0.500 0.500 0.500
S1 S 0.500 0.500 0.000
N1 N 0.000 0.500 0.500

# VBiS2 | Alexandria | PBE | optimized geometry
# Formation energy without anion corrections, eV per formula unit: -0.88
data_VBiS2
_chemical_formula_sum 'V4 Bi4 S8'
_cell_length_a 6.349
_cell_length_b 6.349
_cell_length_c 9.990
_cell_angle_alpha 90.00
_cell_angle_beta 90.00
_cell_angle_gamma 90.00
_symmetry_space_group_name_H-M 'I -4 2 d'
_symmetry_Int_Tables_number 122
_symmetry_space_group_name_Hall 'I -4 2bw'
loop_
_atom_site_label
_atom_site_type_symbol
_atom_site_fract_x
_atom_site_fract_y
_atom_site_fract_z
V1 V 0.000 0.000 0.000
Bi1 Bi 0.000 0.000 0.500
S1 S 0.169 0.250 0.125

# Er3Bi2Os | Alexandria | PBE | optimized geometry
# ΔH_f (0 K), eV/atom: -0.24
data_Er3Bi2Os
_chemical_formula_sum 'Er6 Bi4 Os2'
_cell_length_a 5.992
_cell_length_b 16.525
_cell_length_c 3.521
_cell_angle_alpha 90.00
_cell_angle_beta 90.00
_cell_angle_gamma 90.00
_symmetry_space_group_name_H-M 'C m m m'
_symmetry_Int_Tables_number 65
_symmetry_space_group_name_Hall '-C 2 2'
loop_
_atom_site_label
_atom_site_type_symbol
_atom_site_fract_x
_atom_site_fract_y
_atom_site_fract_z
Er1 Er 0.000 0.000 0.000
Er2 Er 0.000 0.375 0.500
Bi1 Bi 0.000 0.172 0.500
Os1 Os 0.000 0.500 0.000

# Ac2Be3Si4Rh | Alexandria | PBE | optimized geometry
# Formation energy without anion corrections, eV per formula unit: -4.29
data_Ac2Be3Si4Rh
_chemical_formula_sum 'Ac2 Be3 Si4 Rh1'
_cell_length_a 4.178
_cell_length_b 4.178
_cell_length_c 10.042
_cell_angle_alpha 90.00
_cell_angle_beta 90.00
_cell_angle_gamma 90.00
_symmetry_space_group_name_H-M 'P -4 m 2'
_symmetry_Int_Tables_number 115
_symmetry_space_group_name_Hall 'P -4 -2'
loop_
_atom_site_label
_atom_site_type_symbol
_atom_site_fract_x
_atom_site_fract_y
_atom_site_fract_z
Ac1 Ac 0.000 0.500 0.246
Be1 Be 0.000 0.500 0.879
Be2 Be 0.500 0.500 0.500
Si1 Si 0.000 0.000 0.000
Si2 Si 0.000 0.500 0.624
Si3 Si 0.500 0.500 0.000
Rh1 Rh 0.000 0.000 0.500

# Pm3Nd6HoTm2 | Alexandria | PBE | optimized geometry
# ΔH_f (0 K), eV/atom: 0.02
data_Pm3Nd6HoTm2
_chemical_formula_sum 'Pm6 Nd12 Ho2 Tm4'
_cell_length_a 6.300
_cell_length_b 10.914
_cell_length_c 11.945
_cell_angle_alpha 90.00
_cell_angle_beta 100.11
_cell_angle_gamma 90.00
_symmetry_space_group_name_H-M 'C 1 2/m 1'
_symmetry_Int_Tables_number 12
_symmetry_space_group_name_Hall '-C 2y'
loop_
_atom_site_label
_atom_site_type_symbol
_atom_site_fract_x
_atom_site_fract_y
_atom_site_fract_z
Pm1 Pm 0.000 0.000 0.000
Pm2 Pm 0.000 0.333 0.000
Nd1 Nd 0.249 0.000 0.746
Nd2 Nd 0.249 0.333 0.746
Ho1 Ho 0.000 0.500 0.500
Tm1 Tm 0.000 0.167 0.500

# CdIn5Hg12 | Alexandria | PBE | optimized geometry
# ΔH_f (0 K), eV/atom: 0.01
data_CdIn5Hg12
_chemical_formula_sum 'Cd2 In10 Hg24'
_cell_length_a 6.095
_cell_length_b 10.438
_cell_length_c 15.285
_cell_angle_alpha 90.00
_cell_angle_beta 99.29
_cell_angle_gamma 90.00
_symmetry_space_group_name_H-M 'C 1 2/m 1'
_symmetry_Int_Tables_number 12
_symmetry_space_group_name_Hall '-C 2y'
loop_
_atom_site_label
_atom_site_type_symbol
_atom_site_fract_x
_atom_site_fract_y
_atom_site_fract_z
Cd1 Cd 0.000 0.000 0.000
In1 In 0.000 0.167 0.500
In2 In 0.000 0.332 0.000
In3 In 0.000 0.500 0.500
Hg1 Hg 0.114 0.000 0.334
Hg2 Hg 0.117 0.334 0.330
Hg3 Hg 0.224 0.162 0.167
Hg4 Hg 0.231 0.500 0.166

# Sr4Er3AgS8 | Alexandria | PBE | optimized geometry
# Formation energy without anion corrections, eV per formula unit: -29.65
data_Sr4Er3AgS8
_chemical_formula_sum 'Sr12 Er9 Ag3 S24'
_cell_length_a 8.1210
_cell_length_b 8.1210
_cell_length_c 20.0521
_cell_angle_alpha 90.00
_cell_angle_beta 90.00
_cell_angle_gamma 120.00
_symmetry_space_group_name_H-M 'R -3 m'
_symmetry_Int_Tables_number 166
_symmetry_space_group_name_Hall '-R 3 2"'
loop_
_atom_site_label
_atom_site_type_symbol
_atom_site_fract_x
_atom_site_fract_y
_atom_site_fract_z
Sr1 Sr 0.0000 0.0000 0.0000
Sr2 Sr 0.0000 0.5000 0.0000
Er1 Er 0.0000 0.5000 0.5000
Ag1 Ag 0.0000 0.0000 0.5000
S1 S 0.0000 0.0000 0.2419
S2 S 0.0087 0.5043 0.7577

# Ca2CoMo2 | Alexandria | PBE | optimized geometry
# ΔH_f (0 K), eV/atom: 0.56
# E above lowest polymorph, meV per atom: 0
data_Ca2CoMo2
_chemical_formula_sum 'Ca4 Co2 Mo4'
_cell_length_a 6.296
_cell_length_b 6.296
_cell_length_c 5.191
_cell_angle_alpha 90.00
_cell_angle_beta 90.00
_cell_angle_gamma 90.00
_symmetry_space_group_name_H-M 'P 4/m b m'
_symmetry_Int_Tables_number 127
_symmetry_space_group_name_Hall '-P 4 2ab'
loop_
_atom_site_label
_atom_site_type_symbol
_atom_site_fract_x
_atom_site_fract_y
_atom_site_fract_z
Ca1 Ca 0.176 0.324 0.000
Co1 Co 0.000 0.000 0.500
Mo1 Mo 0.137 0.637 0.500

# LaCoIr2 | Alexandria | PBE | optimized geometry
# ΔH_f (0 K), eV/atom: 0.05
data_LaCoIr2
_chemical_formula_sum 'La1 Co1 Ir2'
_cell_length_a 2.952
_cell_length_b 4.489
_cell_length_c 5.457
_cell_angle_alpha 90.00
_cell_angle_beta 103.82
_cell_angle_gamma 90.00
_symmetry_space_group_name_H-M 'P 1 2/m 1'
_symmetry_Int_Tables_number 10
_symmetry_space_group_name_Hall '-P 2y'
loop_
_atom_site_label
_atom_site_type_symbol
_atom_site_fract_x
_atom_site_fract_y
_atom_site_fract_z
La1 La 0.000 0.000 0.000
Co1 Co 0.500 0.000 0.500
Ir1 Ir 0.345 0.500 0.705

# LaAgSbAu | Alexandria | PBE | optimized geometry
# Formation energy without anion corrections, eV per formula unit: -2.26
data_LaAgSbAu
_chemical_formula_sum 'La4 Ag4 Sb4 Au4'
_cell_length_a 7.352
_cell_length_b 7.352
_cell_length_c 7.352
_cell_angle_alpha 90.00
_cell_angle_beta 90.00
_cell_angle_gamma 90.00
_symmetry_space_group_name_H-M 'F -4 3 m'
_symmetry_Int_Tables_number 216
_symmetry_space_group_name_Hall 'F -4 2 3'
loop_
_atom_site_label
_atom_site_type_symbol
_atom_site_fract_x
_atom_site_fract_y
_atom_site_fract_z
La1 La 0.000 0.000 0.000
Ag1 Ag 0.000 0.000 0.500
Sb1 Sb 0.250 0.250 0.750
Au1 Au 0.250 0.250 0.250

# EuLuZnIr | Alexandria | PBE | optimized geometry
# ΔH_f (0 K), eV/atom: -0.44
data_EuLuZnIr
_chemical_formula_sum 'Eu4 Lu4 Zn4 Ir4'
_cell_length_a 6.988
_cell_length_b 6.988
_cell_length_c 6.988
_cell_angle_alpha 90.00
_cell_angle_beta 90.00
_cell_angle_gamma 90.00
_symmetry_space_group_name_H-M 'F -4 3 m'
_symmetry_Int_Tables_number 216
_symmetry_space_group_name_Hall 'F -4 2 3'
loop_
_atom_site_label
_atom_site_type_symbol
_atom_site_fract_x
_atom_site_fract_y
_atom_site_fract_z
Eu1 Eu 0.000 0.000 0.000
Lu1 Lu 0.000 0.000 0.500
Zn1 Zn 0.250 0.250 0.750
Ir1 Ir 0.250 0.250 0.250

# Sr2FeMo | Alexandria | PBE | optimized geometry
# ΔH_f (0 K), eV/atom: 0.96
# E above lowest polymorph, meV per atom: 387
data_Sr2FeMo
_chemical_formula_sum 'Sr8 Fe4 Mo4'
_cell_length_a 11.472
_cell_length_b 11.472
_cell_length_c 4.420
_cell_angle_alpha 90.00
_cell_angle_beta 90.00
_cell_angle_gamma 90.00
_symmetry_space_group_name_H-M 'I -4 2 d'
_symmetry_Int_Tables_number 122
_symmetry_space_group_name_Hall 'I -4 2bw'
loop_
_atom_site_label
_atom_site_type_symbol
_atom_site_fract_x
_atom_site_fract_y
_atom_site_fract_z
Sr1 Sr 0.070 0.250 0.125
Fe1 Fe 0.000 0.000 0.000
Mo1 Mo 0.000 0.000 0.500

# PaTeBr3 | Alexandria | PBE | optimized geometry
# E above lowest polymorph, meV per atom: 0
# Formation energy without anion corrections, eV per formula unit: -5.96
data_PaTeBr3
_chemical_formula_sum 'Pa4 Te4 Br12'
_cell_length_a 7.472
_cell_length_b 8.086
_cell_length_c 14.159
_cell_angle_alpha 90.00
_cell_angle_beta 98.31
_cell_angle_gamma 90.00
_symmetry_space_group_name_H-M 'P 1 2/c 1'
_symmetry_Int_Tables_number 13
_symmetry_space_group_name_Hall '-P 2yc'
loop_
_atom_site_label
_atom_site_type_symbol
_atom_site_fract_x
_atom_site_fract_y
_atom_site_fract_z
Pa1 Pa 0.081 0.133 0.137
Te1 Te 0.169 0.407 0.302
Br1 Br 0.150 0.179 0.544
Br2 Br 0.233 0.050 0.804
Br3 Br 0.361 0.273 0.066

# NpScSi | Alexandria | PBE | optimized geometry
# Formation energy without anion corrections, eV per formula unit: -0.35
data_NpScSi
_chemical_formula_sum 'Np4 Sc4 Si4'
_cell_length_a 2.937
_cell_length_b 4.766
_cell_length_c 16.552
_cell_angle_alpha 90.00
_cell_angle_beta 90.00
_cell_angle_gamma 90.00
_symmetry_space_group_name_H-M 'I m m m'
_symmetry_Int_Tables_number 71
_symmetry_space_group_name_Hall '-I 2 2'
loop_
_atom_site_label
_atom_site_type_symbol
_atom_site_fract_x
_atom_site_fract_y
_atom_site_fract_z
Np1 Np 0.000 0.246 0.000
Sc1 Sc 0.000 0.500 0.321
Si1 Si 0.000 0.500 0.155

# MoPd3Se4 | Alexandria | PBE | optimized geometry
# Formation energy without anion corrections, eV per formula unit: -2.33
data_MoPd3Se4
_chemical_formula_sum 'Mo2 Pd6 Se8'
_cell_length_a 7.498
_cell_length_b 6.662
_cell_length_c 6.764
_cell_angle_alpha 90.00
_cell_angle_beta 90.00
_cell_angle_gamma 90.00
_symmetry_space_group_name_H-M 'P m n 21'
_symmetry_Int_Tables_number 31
_symmetry_space_group_name_Hall 'P 2ac -2'
loop_
_atom_site_label
_atom_site_type_symbol
_atom_site_fract_x
_atom_site_fract_y
_atom_site_fract_z
Mo1 Mo 0.000 0.159 0.000
Pd1 Pd 0.000 0.908 0.619
Pd2 Pd 0.194 0.290 0.620
Se1 Se 0.000 0.163 0.350
Se2 Se 0.000 0.795 0.967
Se3 Se 0.226 0.654 0.469

# CuAg2Cl | Alexandria | PBE | optimized geometry
# E above lowest polymorph, meV per atom: 108
# Formation energy without anion corrections, eV per formula unit: 0.17
data_CuAg2Cl
_chemical_formula_sum 'Cu2 Ag4 Cl2'
_cell_length_a 3.063
_cell_length_b 4.284
_cell_length_c 11.913
_cell_angle_alpha 90.00
_cell_angle_beta 90.00
_cell_angle_gamma 90.00
_symmetry_space_group_name_H-M 'I m m 2'
_symmetry_Int_Tables_number 44
_symmetry_space_group_name_Hall 'I 2 -2'
loop_
_atom_site_label
_atom_site_type_symbol
_atom_site_fract_x
_atom_site_fract_y
_atom_site_fract_z
Cu1 Cu 0.000 0.000 0.000
Ag1 Ag 0.000 0.000 0.549
Ag2 Ag 0.000 0.500 0.696
Cl1 Cl 0.000 0.500 0.338

# Y2NbRe | Alexandria | PBE | optimized geometry
# ΔH_f (0 K), eV/atom: 0.90
# E above lowest polymorph, meV per atom: 370
data_Y2NbRe
_chemical_formula_sum 'Y8 Nb4 Re4'
_cell_length_a 8.195
_cell_length_b 8.195
_cell_length_c 5.703
_cell_angle_alpha 90.00
_cell_angle_beta 90.00
_cell_angle_gamma 90.00
_symmetry_space_group_name_H-M 'I -4 2 d'
_symmetry_Int_Tables_number 122
_symmetry_space_group_name_Hall 'I -4 2bw'
loop_
_atom_site_label
_atom_site_type_symbol
_atom_site_fract_x
_atom_site_fract_y
_atom_site_fract_z
Y1 Y 0.205 0.750 0.125
Nb1 Nb 0.000 0.000 0.500
Re1 Re 0.000 0.000 0.000

# TaCoPt2 | Alexandria | PBE | optimized geometry
# ΔH_f (0 K), eV/atom: -0.25
# E above lowest polymorph, meV per atom: 342
data_TaCoPt2
_chemical_formula_sum 'Ta1 Co1 Pt2'
_cell_length_a 2.781
_cell_length_b 2.781
_cell_length_c 7.753
_cell_angle_alpha 90.00
_cell_angle_beta 90.00
_cell_angle_gamma 90.00
_symmetry_space_group_name_H-M 'P 4 m m'
_symmetry_Int_Tables_number 99
_symmetry_space_group_name_Hall 'P 4 -2'
loop_
_atom_site_label
_atom_site_type_symbol
_atom_site_fract_x
_atom_site_fract_y
_atom_site_fract_z
Ta1 Ta 0.000 0.000 0.000
Co1 Co 0.500 0.500 0.239
Pt1 Pt 0.000 0.000 0.463
Pt2 Pt 0.500 0.500 0.738

| no. | total energy (eV per atom) |
| --- | --- |
| 1 | -2.922 |
| 2 | -6.382 |
| 3 | -3.403 |
| 4 | -4.429 |
| 5 | -6.946 |
| 6 | -1.721 |
| 7 | -4.341 |
| 8 | -5.535 |
| 9 | -5.689 |
| 10 | -5.273 |
| 11 | -4.683 |
| 12 | -1.002 |
| 13 | -5.371 |
| 14 | -5.996 |
| 15 | -7.385 |
| 16 | -4.359 |
| 17 | -6.670 |
| 18 | -4.707 |
| 19 | -4.722 |
| 20 | -8.348 |
| 21 | -5.335 |
| 22 | -2.868 |
| 23 | -7.965 |
| 24 | -8.013 |